An optimized crystal structure of Mn2CuO4. Source: the Alexandria database, functional PBE with a Hubbard U.

Geometry as POSCAR:
```
Mn2CuO4
1.0
-4.888 -1.161 -3.370
0.637 -1.625 -5.792
-3.672 -16.893 -5.142
Mn Cu O
12 6 24
Cartesian
-3.674 -16.831 -5.159
-0.986 -4.681 -5.113
-3.735 -4.450 -3.908
-1.226 -5.576 -1.730
-3.419 -5.259 -6.791
-2.214 -10.310 -6.828
-4.957 -10.080 -5.625
-4.641 -10.887 -8.502
-3.422 -15.936 -8.542
-6.190 -15.704 -7.328
-5.258 -13.703 -9.370
-5.871 -16.518 -10.231
-1.367 -2.146 -2.707
-2.590 -7.789 -4.418
-2.809 -2.457 -5.938
-3.816 -13.387 -6.141
-4.034 -8.084 -7.653
-2.449 -11.225 -3.438
-2.109 -3.327 -4.174
-1.819 -4.070 -6.819
-2.668 -5.895 -4.958
-3.332 -8.943 -5.889
-2.520 -6.673 -7.882
-4.341 -3.858 -5.713
-4.174 -4.660 -8.629
-3.041 -9.687 -8.540
-5.014 -6.463 -6.789
-3.894 -11.493 -6.681
-4.562 -14.566 -7.618
-3.732 -12.337 -9.586
-4.727 -7.197 -9.404
-5.569 -9.474 -7.431
-5.397 -10.319 -10.335
-4.273 -15.303 -10.246
-6.243 -12.126 -8.485
-5.116 -17.150 -8.388
-6.780 -15.093 -9.147
-5.954 -12.865 -11.118
-4.968 -17.920 -11.314
-6.623 -15.888 -12.066
-7.463 -17.710 -10.220
-7.176 -18.444 -12.837
```

## Properties
SG = No. 156
volume = 11.08 A^3/atom
ΔE to the lowest computed polymorph = 0.15 eV per formula unit